VASP calculation (PBE) on a relaxed structure of Er2MgZn16.

Values from the calculation:
Formation energy from the elements = -0.2205 eV/atom
Calculated total energy = -35.3 eV per formula unit
Density of states at the Fermi level = 3.905 states/eV/cell

Cell lengths 6.808, 6.808, 6.808 Å; angles 82.62, 82.62, 82.62 degrees
Fractional positions:
1 Zn 0.353 0.834 0.353
2 Zn 0.646 0.159 0.646
3 Zn 0.000 0.000 0.496
4 Zn 0.496 0.000 0.000
5 Zn 0.700 0.000 0.299
6 Zn 0.159 0.646 0.646
7 Zn 0.112 0.112 0.112
8 Zn 0.000 0.496 0.000
9 Zn 0.000 0.299 0.700
10 Zn 0.299 0.700 0.000
11 Zn 0.000 0.700 0.299
12 Zn 0.299 0.000 0.700
13 Zn 0.834 0.353 0.353
14 Zn 0.700 0.299 0.000
15 Zn 0.353 0.353 0.834
16 Zn 0.646 0.646 0.159
17 Er 0.339 0.339 0.339
18 Er 0.659 0.659 0.659
19 Mg 0.906 0.906 0.906